Arrangement i

Density functional theory data (PBE-GGA) for crystalline SmYNO at its relaxed geometry.

a b c (Å): 8.1619 6.7317 4.9935
angles (deg): 90.00 90.00 90.00
Space group Pbcm (No. 57)
Inequivalent atoms, fractional coordinates:
Sm1 0.1241 0.0697 0.2500 x4
Y1 0.3760 0.5844 0.2500 x4
N1 0.3793 0.5753 0.7500 x4
O1 0.1384 0.0900 0.7500 x4


Arrangement ii

Density functional theory data (PBE-GGA) for crystalline SmYNO at its relaxed geometry.

a b c (Å): 4.9389 4.9389 4.8791
angles (deg): 90.00 90.00 90.00
Space group P4/nmm (No. 129, origin choice 2)
Inequivalent atoms, fractional coordinates:
Sm1 0.2500 0.7500 0.0000 x2
Y1 0.2500 0.2500 0.5003 x2
N1 0.2500 0.2500 0.0008 x2
O1 0.2500 0.7500 0.5000 x2


Stability, descending: arrangement ii, arrangement i


Arrangement i

Density functional theory data (PBE-GGA) for crystalline TbErNi4 at its relaxed geometry.

a b c (Å): 5.3562 5.3562 8.0024
angles (deg): 90.00 90.00 120.00
Space group P6/mmm (No. 191)
Inequivalent atoms, fractional coordinates:
Tb1 0.0000 0.0000 0.0000 x1
Tb2 0.0000 0.0000 0.5000 x1
Er1 0.3333 0.6667 0.0000 x2
Ni1 0.0000 0.5000 0.2708 x6
Ni2 0.3333 0.6667 0.5000 x2


Arrangement ii

Density functional theory data (PBE-GGA) for crystalline TbErNi4 at its relaxed geometry.

a b c (Å): 7.0893 7.0893 7.0893
angles (deg): 90.00 90.00 90.00
Space group F-43m (No. 216)
Inequivalent atoms, fractional coordinates:
Tb1 0.0000 0.0000 0.0000 x4
Er1 0.2500 0.2500 0.2500 x4
Ni1 0.1248 0.1248 0.6248 x16


Stability, descending: arrangement ii, arrangement i


Arrangement i

Density functional theory data (PBE-GGA) for crystalline SrAgNO at its relaxed geometry.

a b c (Å): 6.5952 6.9932 5.7190
angles (deg): 90.00 90.00 90.00
Space group Pca2_1 (No. 29)
Inequivalent atoms, fractional coordinates:
Sr1 0.0832 0.1846 0.0000 x4
Ag1 0.1080 0.6376 0.0054 x4
N1 0.1605 0.4977 0.6735 x4
O1 0.0682 0.1213 0.4192 x4


Arrangement ii

Density functional theory data (PBE-GGA) for crystalline SrAgNO at its relaxed geometry.

a b c (Å): 7.0809 6.7185 5.4417
angles (deg): 90.00 90.00 90.00
Space group Pca2_1 (No. 29)
Inequivalent atoms, fractional coordinates:
Sr1 0.0955 0.2192 0.0000 x4
Ag1 0.1500 0.6794 0.0119 x4
N1 0.0547 0.1212 0.4717 x4
O1 0.1321 0.4918 0.6642 x4


Stability, descending: arrangement i, arrangement ii


Arrangement i

Density functional theory data (PBE-GGA) for crystalline LuGeTe3Au at its relaxed geometry.

a b c (Å): 13.2351 4.1664 12.4047
angles (deg): 90.00 90.00 90.00
Space group Pnma (No. 62)
Inequivalent atoms, fractional coordinates:
Lu1 0.0677 0.2500 0.1779 x4
Ge1 0.2173 0.2500 0.4316 x4
Te1 0.0526 0.7500 0.3611 x4
Te2 0.0799 0.2500 0.9209 x4
Te3 0.2111 0.7500 0.6382 x4
Au1 0.2488 0.2500 0.7848 x4


Arrangement ii

Density functional theory data (PBE-GGA) for crystalline LuGeTe3Au at its relaxed geometry.

a b c (Å): 4.1294 15.1771 11.2204
angles (deg): 90.00 90.00 90.00
Space group Cmcm (No. 63)
Inequivalent atoms, fractional coordinates:
Lu1 0.0000 0.0000 0.0000 x4
Ge1 0.0000 0.1695 0.2500 x4
Te1 0.0000 0.0879 0.7500 x4
Te2 0.0000 0.3557 0.5479 x8
Au1 0.0000 0.4645 0.7500 x4


Stability, descending: arrangement ii, arrangement i


Arrangement i

Density functional theory data (PBE-GGA) for crystalline HoZnInTe3 at its relaxed geometry.

a b c (Å): 9.0007 4.5898 17.5701
angles (deg): 90.00 90.00 90.00
Space group Pnma (No. 62)
Inequivalent atoms, fractional coordinates:
Ho1 0.2474 0.2500 0.0438 x4
Zn1 0.1340 0.2500 0.3574 x4
In1 0.0727 0.2500 0.7835 x4
Te1 0.0014 0.2500 0.5888 x4
Te2 0.1239 0.7500 0.9461 x4
Te3 0.1947 0.2500 0.2111 x4


Arrangement ii

Density functional theory data (PBE-GGA) for crystalline HoZnInTe3 at its relaxed geometry.

a b c (Å): 11.5122 4.3251 15.3065
angles (deg): 90.00 90.00 90.00
Space group Pnma (No. 62)
Inequivalent atoms, fractional coordinates:
Ho1 0.0154 0.2500 0.2455 x4
Zn1 0.2389 0.2500 0.7161 x4
In1 0.2254 0.7500 0.5072 x4
Te1 0.0459 0.2500 0.6182 x4
Te2 0.0773 0.7500 0.1106 x4
Te3 0.2372 0.7500 0.8260 x4


Stability, descending: arrangement ii, arrangement i


Arrangement i

Density functional theory data (PBE-GGA) for crystalline YTcW at its relaxed geometry.

a b c (Å): 4.2704 4.2704 27.1966
angles (deg): 90.00 90.00 120.00
Space group R-3m (No. 166, hexagonal axes)
Inequivalent atoms, fractional coordinates:
Y1 0.0000 0.0000 0.1170 x6
Tc1 0.0000 0.0000 0.2926 x6
W1 0.0000 0.0000 0.3876 x6


Arrangement ii

Density functional theory data (PBE-GGA) for crystalline YTcW at its relaxed geometry.

a b c (Å): 6.3503 6.3503 6.3503
angles (deg): 90.00 90.00 90.00
Space group F-43m (No. 216)
Inequivalent atoms, fractional coordinates:
Y1 0.0000 0.0000 0.0000 x4
Tc1 0.2500 0.2500 0.7500 x4
W1 0.0000 0.0000 0.5000 x4


Stability, descending: arrangement i, arrangement ii


Arrangement i

Density functional theory data (PBE-GGA) for crystalline TePtPbO at its relaxed geometry.

a b c (Å): 4.0224 4.0224 10.6852
angles (deg): 90.00 90.00 90.00
Space group P4/nmm (No. 129, origin choice 2)
Inequivalent atoms, fractional coordinates:
Te1 0.2500 0.2500 0.1155 x2
Pt1 0.2500 0.2500 0.8679 x2
Pb1 0.2500 0.2500 0.6101 x2
O1 0.2500 0.7500 0.5000 x2


Arrangement ii

Density functional theory data (PBE-GGA) for crystalline TePtPbO at its relaxed geometry.

a b c (Å): 5.7509 7.1633 8.5865
angles (deg): 90.00 90.00 90.00
Space group P2_12_12_1 (No. 19)
Inequivalent atoms, fractional coordinates:
Te1 0.1667 0.0843 0.4867 x4
Pt1 0.1634 0.7102 0.2016 x4
Pb1 0.1447 0.6589 0.6530 x4
O1 0.0126 0.1510 0.0960 x4


Stability, descending: arrangement i, arrangement ii


Arrangement i

Density functional theory data (PBE-GGA) for crystalline YTmAsO at its relaxed geometry.

a b c (Å): 4.1835 7.4754 5.8887
angles (deg): 90.00 90.00 90.00
Space group Pmc2_1 (No. 26)
Inequivalent atoms, fractional coordinates:
Y1 0.0000 0.2130 0.0000 x2
Tm1 0.5000 0.3873 0.5748 x2
As1 0.0000 0.1647 0.4906 x2
O1 0.5000 0.3355 0.9384 x2


Arrangement ii

Density functional theory data (PBE-GGA) for crystalline YTmAsO at its relaxed geometry.

a b c (Å): 4.3167 4.3167 8.6202
angles (deg): 90.00 90.00 90.00
Space group P4mm (No. 99)
Inequivalent atoms, fractional coordinates:
Y1 0.0000 0.5000 0.0000 x2
Tm1 0.0000 0.0000 0.4071 x1
Tm2 0.5000 0.5000 0.5948 x1
As1 0.0000 0.0000 0.7907 x1
As2 0.5000 0.5000 0.2107 x1
O1 0.0000 0.5000 0.5009 x2


Stability, descending: arrangement i, arrangement ii


Arrangement i

Density functional theory data (PBE-GGA) for crystalline ZnCdTeO at its relaxed geometry.

a b c (Å): 7.1554 7.4633 12.9572
angles (deg): 90.00 90.00 90.00
Space group Pbca (No. 61)
Inequivalent atoms, fractional coordinates:
Zn1 0.0834 0.1875 0.0742 x8
Cd1 0.1408 0.5765 0.7630 x8
Te1 0.2442 0.0643 0.4630 x8
O1 0.1164 0.2430 0.2204 x8


Arrangement ii

Density functional theory data (PBE-GGA) for crystalline ZnCdTeO at its relaxed geometry.

a b c (Å): 3.6184 14.1288 6.4807
angles (deg): 90.00 90.00 90.00
Space group Cmc2_1 (No. 36)
Inequivalent atoms, fractional coordinates:
Zn1 0.0000 0.1446 0.0000 x4
Cd1 0.0000 0.4413 0.0878 x4
Te1 0.0000 0.1896 0.3965 x4
O1 0.0000 0.4202 0.4275 x4


Stability, descending: arrangement i, arrangement ii